Computed, not measured: a geometry-optimized Sc5InSn structure at the PBE-GGA level of DFT.

```
Sc5InSn
1.0
4.010 -4.115 0.000
4.010 4.115 0.000
-2.279 0.000 10.246
Sc In Sn
10 2 2
direct
0.002 0.594 0.162
0.133 0.867 0.750
0.240 0.516 0.472
0.406 0.998 0.338
0.484 0.760 0.028
0.516 0.240 0.972
0.594 0.002 0.662
0.760 0.484 0.528
0.867 0.133 0.250
0.998 0.406 0.838
0.000 0.000 0.000
0.000 0.000 0.500
0.489 0.511 0.750
0.511 0.489 0.250
```

Energy of formation: -1.6 eV per formula unit
Density: 4502 kg/m3
VASP energy: -5.7137 eV/atom
Size of the total moment: 0.000 μB/f.u.
Symmetry: No. 15
Volume: 24.15 Å³ per atom

=====

Computed, not measured: a geometry-optimized Sc2InSn structure at the PBE-GGA level of DFT.

```
Sc2InSn
1.0
4.557 0.000 0.000
0.000 4.557 0.000
0.000 0.000 4.354
Sc In Sn
2 1 1
direct
0.000 0.500 0.000
0.500 0.000 0.000
0.000 0.000 0.500
0.500 0.500 0.500
```

Energy of formation: -2.0 eV per formula unit
Density: 5941 kg/m3
VASP energy: -5.3477 eV/atom
Size of the total moment: 1.106 μB/f.u.
Symmetry: No. 123
Volume: 22.60 Å³ per atom

=====

Computed, not measured: a geometry-optimized Sc2In2Sn structure at the PBE-GGA level of DFT.

```
Sc2In2Sn
1.0
8.245 0.000 0.000
0.000 8.245 0.000
0.000 0.000 3.574
Sc In Sn
4 4 2
direct
0.177 0.323 0.000
0.323 0.823 0.000
0.677 0.177 0.000
0.823 0.677 0.000
0.124 0.624 0.500
0.376 0.124 0.500
0.624 0.876 0.500
0.876 0.376 0.500
0.000 0.000 0.500
0.500 0.500 0.500
```

Energy of formation: -1.3 eV per formula unit
Density: 5991 kg/m3
VASP energy: -4.6928 eV/atom
E above lowest polymorph: 98 meV/atom
Size of the total moment: 0.000 μB/f.u.
Symmetry: No. 127
Volume: 24.30 Å³ per atom

=====

Computed, not measured: a geometry-optimized ScInSn3 structure at the PBE-GGA level of DFT.

```
ScInSn3
1.0
5.531 0.000 0.000
0.000 5.531 0.000
0.000 0.000 5.531
Sc In Sn
1 1 3
direct
0.000 0.000 0.000
0.500 0.500 0.500
0.000 0.500 0.500
0.500 0.000 0.500
0.500 0.500 0.000
```

Energy of formation: 3.2 eV per formula unit
Density: 5062 kg/m3
VASP energy: -3.5733 eV/atom
E above lowest polymorph: 414 meV/atom
Size of the total moment: 0.000 μB/f.u.
Symmetry: No. 221
Volume: 33.85 Å³ per atom

=====

Computed, not measured: a geometry-optimized Sc4In2Sn structure at the PBE-GGA level of DFT.

```
Sc4In2Sn
1.0
-2.643 2.643 7.234
2.643 -2.643 7.234
2.643 2.643 -7.234
Sc In Sn
4 2 1
direct
0.000 0.500 0.500
0.191 0.191 0.000
0.500 0.000 0.500
0.809 0.809 0.000
0.387 0.387 0.000
0.613 0.613 0.000
0.000 0.000 0.000
```

Energy of formation: 0.3 eV per formula unit
Density: 4337 kg/m3
VASP energy: -4.9326 eV/atom
Size of the total moment: 0.000 μB/f.u.
Symmetry: No. 139
Volume: 28.89 Å³ per atom

=====

Computed, not measured: a geometry-optimized ScIn2Sn structure at the PBE-GGA level of DFT.

```
ScIn2Sn
1.0
4.395 0.000 0.000
0.000 4.395 0.000
0.000 0.000 4.908
Sc In Sn
1 2 1
direct
0.000 0.000 0.000
0.000 0.500 0.500
0.500 0.000 0.500
0.500 0.500 0.000
```

Energy of formation: -1.2 eV per formula unit
Density: 6888 kg/m3
VASP energy: -4.2444 eV/atom
E above lowest polymorph: 0 meV/atom
Size of the total moment: 0.000 μB/f.u.
Symmetry: No. 123
Volume: 23.70 Å³ per atom

=====

The records above give, respectively, DOS at the Fermi energy values of 1.26 0.70 0.56 1.17 0.37 0.58 states/eV/atom.